Material: SrLaRh2
Method: DFT, PBE
State: optimized geometry

Values from the calculation:
Calculated total energy, eV/atom: -5.616
Crystal system: orthorhombic
Calculated formation energy, eV/atom: -0.29

Lattice parameters (Å, degrees): 7.0495 7.0495 7.0495 148.97 144.49 47.86
Closest atoms and distances in Å follow each position.
Atoms (fractional coordinates):
Sr: 0.0000 0.0000 0.0000  4 Rh 3.12
La: 0.2601 0.7601 0.5000  6 Rh 2.86-3.00
Rh: 0.5972 0.5972 0.0000  2 Rh 2.77, 2 La 3.00
Rh: 0.7548 0.2548 0.5000  2 Rh 2.77, 4 La 2.86

***

Material: SrLa2Rh
Method: DFT, PBE
State: optimized geometry

Values from the calculation:
Calculated total energy, eV/atom: -4.652
Crystal system: tetragonal
Offset from the most stable computed form, kcal/mol of atoms: 11.24
Calculated formation energy, eV/atom: 0.07

Lattice parameters (Å, degrees): 8.4136 8.4136 8.4136 120.00 120.00 90.00
Closest atoms and distances in Å follow each position.
Atoms (fractional coordinates):
Sr: 0.0000 0.0000 0.0000  12 La 4.93-4.94, 4 Rh 5.15, 4 Sr 5.15
Sr: 0.7500 0.2500 0.5000  12 La 4.93-4.94, 4 Rh 5.15, 4 Sr 5.15
La: 0.3743 0.1250 0.7493  2 Rh 2.58
La: 0.3750 0.6257 0.7507  2 Rh 2.58
La: 0.3757 0.6250 0.2507  2 Rh 2.58
La: 0.8750 0.6243 0.2493  2 Rh 2.58
Rh: 0.2500 0.7500 0.5000  4 La 2.58
Rh: 0.5000 0.5000 0.0000  4 La 2.58